# Ti3AlTc GGA-PBE optimized geometry
# Formation energy from the elements (eV per atom): -0.3796
# E (eV per atom): -7.938
# Total magnetic moment (μB/cell): 0.0
# E above lowest polymorph (eV per formula unit): 0.00
# D(E_F) (states/eV per atom): 0.446
# Crystal system: orthorhombic
data_Ti3AlTc
_chemical_formula_sum 'Ti12 Al4 Tc4'
_cell_length_a 4.392
_cell_length_b 16.365
_cell_length_c 4.404
_cell_angle_alpha 90.00
_cell_angle_beta 90.00
_cell_angle_gamma 90.00
_space_group_name_H-M_alt 'C m c m'
_space_group_IT_number 63
_space_group_name_Hall '-C 2c 2'
loop_
_atom_site_label
_atom_site_type_symbol
_atom_site_fract_x
_atom_site_fract_y
_atom_site_fract_z
Ti1 Ti 0.000 0.053 0.250
Ti2 Ti 0.000 0.250 0.250
Ti3 Ti 0.000 0.446 0.250
Al1 Al 0.000 0.347 0.750
Tc1 Tc 0.000 0.155 0.750